## Fe2MoPt9 (GGA-PBE)

Data for a geometry-optimized Fe2MoPt9 structure.

Unit cell a=3.937 b=3.937 c=11.792 alpha=90.00 beta=90.00 gamma=90.00
Last column: magnetic moment on the atom in μB.
Positions (direct):
Pt 0.500 0.500 0.334  0.39
Pt 0.000 0.500 0.167  0.20
Pt 0.500 0.500 0.000  0.14
Pt 0.500 0.000 0.833  0.20
Pt 0.500 0.500 0.666  0.39
Pt 0.500 0.000 0.500  0.45
Pt 0.500 0.000 0.167  0.20
Pt 0.000 0.500 0.833  0.20
Pt 0.000 0.500 0.500  0.45
Mo 0.000 0.000 0.000  0.50
Fe 0.000 0.000 0.339  3.34
Fe 0.000 0.000 0.661  3.34

Results
For the density of states at the Fermi level, the calculation gives 11.6 states/eV per cell. As for the total moment: 9.9 μB/cell. As for the formation energy: -220 meV/atom. As for the total DFT energy (no corrections): -84.8 eV per cell.